A:
TaRh2Br2 | GGA-PBE | relaxed

Geometry as POSCAR:
```
TaRh2Br2
1.0
-2.203 0.995 -2.666
-2.749 -1.614 1.670
-4.185 6.810 3.572
Rh Br Ta
2 2 1
Cartesian
-2.737 0.777 0.123
-6.400 5.414 2.453
-4.432 3.748 0.204
-4.705 2.443 2.372
0.000 0.000 0.000
```

The calculation puts the size of the total moment at 0.00 μB per atom. Its space group is I4/mmm.

B:
TaRh2Br2 | GGA-PBE | relaxed

Geometry as POSCAR:
```
TaRh2Br2
1.0
-2.691 -5.960 0.606
5.938 -2.741 -0.593
0.601 0.231 4.947
Rh Br Ta
4 4 2
Cartesian
4.126 -4.470 -0.292
1.519 -6.867 0.137
-0.878 -4.231 0.305
1.728 -1.833 -0.124
4.229 -3.825 2.181
2.345 -6.556 2.537
-0.380 -4.645 2.779
1.504 -1.913 2.422
0.000 0.000 0.000
1.624 -4.350 0.006
```

The calculation puts the size of the total moment at 0.11 μB per atom. Its space group is P4/mbm.

Which of the structures shown above is the most stable? The most stable is B.